{
  "formula": "CdGa",
  "functional": "PBE",
  "state": "relaxed",
  "cell": [[-0.4901, -3.3234, -3.4276], [4.3653, 1.1194, 1.6505], [-0.4677, -4.0165, 3.9612]],
  "species": ["Ga", "Ga", "Cd", "Cd"],
  "fractional_positions": [[0.6667, 0.3333, 0.7500], [0.3333, 0.6667, 0.2500], [0.6667, 0.3333, 0.2500], [0.3333, 0.6667, 0.7500]],
  "delta_e_f_ev_per_atom": 0.246,
  "dos_at_fermi_per_ev_atom": 0.43,
  "volume_a3_per_atom": 28.228
}


{
  "formula": "Cd5Ga7",
  "functional": "PBE",
  "state": "relaxed",
  "cell": [[-2.6148, -1.3700, -0.7586], [2.9665, -1.1120, -8.2171], [3.5710, -8.1395, 2.3907]],
  "species": ["Cd", "Cd", "Cd", "Cd", "Cd", "Ga", "Ga", "Ga", "Ga", "Ga", "Ga", "Ga"],
  "fractional_positions": [[0.5000, 0.2479, 0.3340], [0.5000, 0.2479, 0.6660], [0.0000, 0.5104, 0.5000], [0.0000, 0.0019, 0.8378], [0.0000, 0.0019, 0.1622], [0.5000, 0.7512, 0.3224], [0.5000, 0.7512, 0.6776], [0.0000, 0.5009, 0.1627], [0.0000, 0.5009, 0.8373], [0.5000, 0.2653, 0.0000], [0.0000, 0.9788, 0.5000], [0.5000, 0.7418, 0.0000]],
  "delta_e_f_ev_per_atom": 0.038,
  "dos_at_fermi_per_ev_atom": 0.30,
  "volume_a3_per_atom": 20.588
}


{
  "formula": "CdGa5",
  "functional": "PBE",
  "state": "relaxed",
  "cell": [[4.2136, 0.0000, 0.0000], [0.0000, 4.1375, 0.0000], [0.0000, -2.0688, 6.7358]],
  "species": ["Ga", "Ga", "Ga", "Ga", "Ga", "Cd"],
  "fractional_positions": [[0.5000, 0.5000, 0.0000], [0.0000, 0.6692, 0.3384], [0.0000, 0.3308, 0.6616], [0.5000, 0.1681, 0.3362], [0.5000, 0.8319, 0.6638], [0.0000, 0.0000, 0.0000]],
  "delta_e_f_ev_per_atom": 0.032,
  "dos_at_fermi_per_ev_atom": 0.18,
  "volume_a3_per_atom": 19.572
}


{
  "formula": "CdGa6",
  "functional": "PBE",
  "state": "relaxed",
  "cell": [[4.3277, 0.0000, 0.0000], [0.0000, 4.3277, 0.0000], [0.0000, 0.0000, 7.6537]],
  "species": ["Ga", "Ga", "Ga", "Ga", "Ga", "Ga", "Cd"],
  "fractional_positions": [[0.5000, 0.0000, 0.7209], [0.5000, 0.0000, 0.2791], [0.0000, 0.5000, 0.2791], [0.0000, 0.0000, 0.5000], [0.0000, 0.5000, 0.7209], [0.5000, 0.5000, 0.0000], [0.0000, 0.0000, 0.0000]],
  "delta_e_f_ev_per_atom": 0.055,
  "dos_at_fermi_per_ev_atom": 0.29,
  "volume_a3_per_atom": 20.478
}


{
  "formula": "CdGa",
  "functional": "PBE",
  "state": "relaxed",
  "cell": [[5.6655, 0.0000, 0.0000], [0.0000, 5.6655, 0.0000], [0.0000, 0.0000, 5.7606]],
  "species": ["Cd", "Cd", "Cd", "Cd", "Ga", "Ga", "Ga", "Ga"],
  "fractional_positions": [[0.3102, 0.6898, 0.5000], [0.6898, 0.3102, 0.5000], [0.1898, 0.1898, 0.0000], [0.8102, 0.8102, 0.0000], [0.1836, 0.1836, 0.5000], [0.8164, 0.8164, 0.5000], [0.6836, 0.3164, 0.0000], [0.3164, 0.6836, 0.0000]],
  "delta_e_f_ev_per_atom": 0.149,
  "dos_at_fermi_per_ev_atom": 0.55,
  "volume_a3_per_atom": 23.113
}


{
  "formula": "Cd4Ga",
  "functional": "PBE",
  "state": "relaxed",
  "cell": [[5.2687, 0.0000, 0.0000], [0.0000, 5.2687, 0.0000], [0.0000, 0.0000, 5.2687]],
  "species": ["Cd", "Cd", "Cd", "Cd", "Ga"],
  "fractional_positions": [[0.0000, 0.0000, 0.0000], [0.5000, 0.5000, 0.0000], [0.5000, 0.0000, 0.5000], [0.0000, 0.5000, 0.5000], [0.5000, 0.5000, 0.5000]],
  "delta_e_f_ev_per_atom": 0.234,
  "dos_at_fermi_per_ev_atom": 0.48,
  "volume_a3_per_atom": 29.250
}


{
  "formula": "CdGa5",
  "functional": "PBE",
  "state": "relaxed",
  "cell": [[-1.6230, -0.6060, 2.5258], [2.0672, -2.1047, 0.8234], [6.4727, 8.8120, 6.2736]],
  "species": ["Ga", "Ga", "Ga", "Ga", "Ga", "Cd"],
  "fractional_positions": [[0.0000, 0.0000, 0.3235], [0.0000, 0.0000, 0.0000], [0.0000, 0.0000, 0.6765], [0.5000, 0.5000, 0.8380], [0.5000, 0.5000, 0.1620], [0.5000, 0.5000, 0.5000]],
  "delta_e_f_ev_per_atom": 0.034,
  "dos_at_fermi_per_ev_atom": 0.46,
  "volume_a3_per_atom": 19.709
}


{
  "formula": "CdGa",
  "functional": "PBE",
  "state": "relaxed",
  "cell": [[3.2160, 0.0000, -0.0154], [0.0000, 3.7725, 0.0000], [-0.6830, 0.0000, 6.9933]],
  "species": ["Cd", "Cd", "Ga", "Ga"],
  "fractional_positions": [[0.7377, 0.2500, 0.3647], [0.2623, 0.7500, 0.6353], [0.7490, 0.2500, 0.8972], [0.2510, 0.7500, 0.1028]],
  "delta_e_f_ev_per_atom": 0.069,
  "dos_at_fermi_per_ev_atom": 0.51,
  "volume_a3_per_atom": 21.201
}


{
  "formula": "Cd4Ga3",
  "functional": "PBE",
  "state": "relaxed",
  "cell": [[-4.9390, 0.9241, 1.8908], [3.7891, -1.9834, 3.2452], [1.6646, 5.7201, 1.5524]],
  "species": ["Cd", "Cd", "Cd", "Cd", "Ga", "Ga", "Ga"],
  "fractional_positions": [[0.6667, 0.3333, 0.5000], [0.3333, 0.6667, 0.5000], [0.0000, 0.0000, 0.7297], [0.0000, 0.0000, 0.2703], [0.0000, 0.5000, 0.0000], [0.5000, 0.5000, 0.0000], [0.5000, 0.0000, 0.0000]],
  "delta_e_f_ev_per_atom": 0.083,
  "dos_at_fermi_per_ev_atom": 0.18,
  "volume_a3_per_atom": 21.953
}


{
  "formula": "Cd3Ga11",
  "functional": "PBE",
  "state": "relaxed",
  "cell": [[5.2011, 0.5873, 2.3789], [3.5273, 7.3662, 4.1490], [2.1981, -0.0751, 8.8929]],
  "species": ["Ga", "Ga", "Ga", "Ga", "Ga", "Ga", "Ga", "Ga", "Ga", "Ga", "Ga", "Cd", "Cd", "Cd"],
  "fractional_positions": [[0.1509, 0.1268, 0.6014], [0.1509, 0.6014, 0.1268], [0.6685, 0.6860, 0.9945], [0.5000, 0.3526, 0.6474], [0.0000, 0.5000, 0.5000], [0.3315, 0.3140, 0.0055], [0.6685, 0.9945, 0.6860], [0.3315, 0.0055, 0.3140], [0.5000, 0.6474, 0.3526], [0.8491, 0.3986, 0.8732], [0.8491, 0.8732, 0.3986], [0.7102, 0.2758, 0.2758], [0.2898, 0.7242, 0.7242], [0.0000, 0.0000, 0.0000]],
  "delta_e_f_ev_per_atom": 0.052,
  "dos_at_fermi_per_ev_atom": 0.23,
  "volume_a3_per_atom": 20.722
}


{
  "formula": "CdGa6",
  "functional": "PBE",
  "state": "relaxed",
  "cell": [[5.7368, 0.0000, 0.0000], [0.0000, 5.7368, 0.0000], [0.0000, 0.0000, 8.5007]],
  "species": ["Ga", "Ga", "Ga", "Ga", "Ga", "Ga", "Ga", "Ga", "Ga", "Ga", "Ga", "Ga", "Cd", "Cd"],
  "fractional_positions": [[0.1746, 0.6746, 0.6419], [0.0000, 0.0000, 0.8489], [0.3254, 0.8254, 0.3581], [0.6746, 0.8254, 0.6419], [0.0000, 0.0000, 0.1511], [0.6746, 0.1746, 0.3581], [0.1746, 0.3254, 0.3581], [0.5000, 0.5000, 0.1511], [0.8254, 0.3254, 0.6419], [0.3254, 0.1746, 0.6419], [0.5000, 0.5000, 0.8489], [0.8254, 0.6746, 0.3581], [0.5000, 0.0000, 0.0000], [0.0000, 0.5000, 0.0000]],
  "delta_e_f_ev_per_atom": 0.040,
  "dos_at_fermi_per_ev_atom": 0.27,
  "volume_a3_per_atom": 19.984
}


{
  "formula": "Cd5Ga",
  "functional": "PBE",
  "state": "relaxed",
  "cell": [[-3.7707, 2.2068, -0.2346], [-2.2465, -3.8623, -0.2250], [0.6362, 1.8196, 6.8908]],
  "species": ["Ga", "Cd", "Cd", "Cd", "Cd", "Cd"],
  "fractional_positions": [[0.0000, 0.0000, 0.0000], [0.5000, 0.8361, 0.6721], [0.5000, 0.1639, 0.3279], [0.5000, 0.5000, 0.0000], [0.0000, 0.6674, 0.3349], [0.0000, 0.3326, 0.6651]],
  "delta_e_f_ev_per_atom": 0.036,
  "dos_at_fermi_per_ev_atom": 0.40,
  "volume_a3_per_atom": 22.173
}


{
  "formula": "Cd7Ga3",
  "functional": "PBE",
  "state": "relaxed",
  "cell": [[-1.3645, -1.4849, -4.0604], [-4.4883, -3.0834, 2.6358], [-0.7483, 9.3726, -0.6450]],
  "species": ["Cd", "Cd", "Cd", "Cd", "Cd", "Cd", "Cd", "Ga", "Ga", "Ga"],
  "fractional_positions": [[0.1990, 0.3010, 0.3979], [0.8010, 0.6990, 0.6021], [0.0000, 0.5000, 0.0000], [0.6025, 0.4076, 0.2051], [0.3975, 0.5924, 0.7949], [0.3991, 0.0982, 0.7983], [0.6009, 0.9018, 0.2017], [0.2030, 0.8129, 0.4061], [0.7970, 0.1871, 0.5939], [0.0000, 0.0000, 0.0000]],
  "delta_e_f_ev_per_atom": 0.042,
  "dos_at_fermi_per_ev_atom": 0.31,
  "volume_a3_per_atom": 21.840
}


{
  "formula": "Cd5Ga",
  "functional": "PBE",
  "state": "relaxed",
  "cell": [[-3.0739, 0.2415, 0.7107], [1.7826, -2.1993, 1.4134], [3.3615, 9.9055, 11.1738]],
  "species": ["Cd", "Cd", "Cd", "Cd", "Cd", "Ga"],
  "fractional_positions": [[0.6667, 0.3333, 0.5000], [0.0000, 0.0000, 0.6709], [0.0000, 0.0000, 0.3291], [0.6667, 0.3333, 0.1598], [0.6667, 0.3333, 0.8402], [0.0000, 0.0000, 0.0000]],
  "delta_e_f_ev_per_atom": 0.035,
  "dos_at_fermi_per_ev_atom": 0.49,
  "volume_a3_per_atom": 22.120
}


{
  "formula": "Cd8Ga",
  "functional": "PBE",
  "state": "relaxed",
  "cell": [[-2.3396, 3.7274, 0.2486], [-6.7792, -1.5597, -1.3362], [-2.2118, 0.7722, 6.6849]],
  "species": ["Cd", "Cd", "Cd", "Cd", "Cd", "Cd", "Cd", "Cd", "Ga"],
  "fractional_positions": [[0.0000, 0.6679, 0.3321], [0.6679, 0.3321, 0.3321], [0.6656, 0.0000, 0.6688], [0.3344, 0.0000, 0.3312], [0.3321, 0.6679, 0.6679], [0.3344, 0.3312, 0.0000], [0.0000, 0.3321, 0.6679], [0.6656, 0.6688, 0.0000], [0.0000, 0.0000, 0.0000]],
  "delta_e_f_ev_per_atom": 0.023,
  "dos_at_fermi_per_ev_atom": 0.31,
  "volume_a3_per_atom": 22.195
}


{
  "formula": "CdGa",
  "functional": "PBE",
  "state": "relaxed",
  "cell": [[-0.5723, -8.9237, -0.5545], [8.8568, -0.4898, -1.2591], [0.5952, -0.3057, 4.3055]],
  "species": ["Cd", "Cd", "Cd", "Cd", "Cd", "Cd", "Cd", "Cd", "Ga", "Ga", "Ga", "Ga", "Ga", "Ga", "Ga", "Ga"],
  "fractional_positions": [[0.8177, 0.5000, 0.0000], [0.5000, 0.1823, 0.0000], [0.3177, 0.0000, 0.5000], [0.0000, 0.6823, 0.5000], [0.0000, 0.3177, 0.5000], [0.6823, 0.0000, 0.5000], [0.1823, 0.5000, 0.0000], [0.5000, 0.8177, 0.0000], [0.3438, 0.6562, 0.5000], [0.6562, 0.6562, 0.5000], [0.3438, 0.3438, 0.5000], [0.1562, 0.8438, 0.0000], [0.1562, 0.1562, 0.0000], [0.8438, 0.1562, 0.0000], [0.6562, 0.3438, 0.5000], [0.8438, 0.8438, 0.0000]],
  "delta_e_f_ev_per_atom": 0.074,
  "dos_at_fermi_per_ev_atom": 0.33,
  "volume_a3_per_atom": 21.859
}


{
  "formula": "Cd3Ga2",
  "functional": "PBE",
  "state": "relaxed",
  "cell": [[-0.0140, 2.1700, 2.0707], [-2.4992, 0.5710, 1.5571], [3.0169, -8.1296, 10.7119]],
  "species": ["Cd", "Cd", "Cd", "Ga", "Ga"],
  "fractional_positions": [[0.0966, 0.0966, 0.7103], [0.5000, 0.5000, 0.5000], [0.9034, 0.9034, 0.2897], [0.3045, 0.3045, 0.0864], [0.6955, 0.6955, 0.9136]],
  "delta_e_f_ev_per_atom": 0.027,
  "dos_at_fermi_per_ev_atom": 0.26,
  "volume_a3_per_atom": 21.306
}


{
  "formula": "CdGa",
  "functional": "PBE",
  "state": "relaxed",
  "cell": [[-1.2446, 2.8482, -0.7220], [-2.9096, -1.3039, -0.1283], [-1.0530, 1.5641, 7.9853]],
  "species": ["Cd", "Cd", "Ga", "Ga"],
  "fractional_positions": [[0.0000, 0.5000, 0.3642], [0.5000, 0.0000, 0.6358], [0.5000, 0.0000, 0.1101], [0.0000, 0.5000, 0.8899]],
  "delta_e_f_ev_per_atom": 0.044,
  "dos_at_fermi_per_ev_atom": 0.34,
  "volume_a3_per_atom": 20.886
}


{
  "formula": "GdCd2Ga",
  "functional": "PBE",
  "state": "relaxed",
  "cell": [[-0.8150, -2.7716, -1.4710], [1.8496, -1.1707, -2.3913], [6.3053, -6.9879, 6.1003]],
  "species": ["Gd", "Ga", "Cd", "Cd"],
  "fractional_positions": [[0.0000, 0.0000, 0.0000], [0.5000, 0.5000, 0.5000], [0.9047, 0.9047, 0.2858], [0.0953, 0.0953, 0.7142]],
  "delta_e_f_ev_per_atom": 0.172,
  "dos_at_fermi_per_ev_atom": 0.69,
  "volume_a3_per_atom": 25.163
}


{
  "formula": "GdCd2Ga",
  "functional": "PBE",
  "state": "relaxed",
  "cell": [[5.0670, 0.0000, 0.0000], [2.5335, 4.3882, 0.0000], [2.5335, 1.4627, 4.1372]],
  "species": ["Gd", "Ga", "Cd", "Cd"],
  "fractional_positions": [[0.0000, 0.0000, 0.0000], [0.5000, 0.5000, 0.5000], [0.7500, 0.7500, 0.7500], [0.2500, 0.2500, 0.2500]],
  "delta_e_f_ev_per_atom": -0.209,
  "dos_at_fermi_per_ev_atom": 0.49,
  "volume_a3_per_atom": 22.997
}